The following is a DFT calculation (PBE) of a geometry-optimized TeAuSeI2 structure.

Lattice parameters (Å, degrees): 5.5001 5.5001 5.6779 90.00 90.00 90.00
With the nearest neighbours (Å) after each atom.
Sites, in units of the cell vectors:
Se: 0.5000 0.5000 0.5000  4 Te 3.89, 8 I 3.95
Te: 0.0000 0.0000 0.5000  2 Au 2.84
Au: 0.0000 0.0000 0.0000  4 I 2.75, 2 Te 2.84
I: 0.5000 0.0000 0.0000  2 Au 2.75
I: 0.0000 0.5000 0.0000  2 Au 2.75

Calculated values
E_tot (eV per atom): -2.0182
M_tot (Bohr magnetons per cell): 1.09
ΔE_f (raw) (meV/atom): 583